Entry from the Alexandria database: a relaxed LiCu2Os crystal (PBE).

```
LiCu2Os
1.0
-1.932 -3.658 -0.206
1.651 -3.321 1.844
-1.784 -1.593 3.381
Cu Li Os
2 1 1
direct
0.000 0.000 0.000
0.250 0.250 0.250
0.500 0.500 0.500
0.750 0.750 0.750
```

Uncorrected energy: -4.8356 eV/atom
ΔH_f (0 K): 0.50 eV/atom
Crystal system: cubic



Entry from the Alexandria database: a relaxed Li2CuOs crystal (PBE).

```
Li2CuOs
1.0
-0.313 2.451 0.170
-3.801 -0.604 1.711
2.123 -0.055 4.697
Li Cu Os
2 1 1
direct
0.000 0.000 0.011
0.000 0.000 0.489
0.500 0.500 0.750
0.500 0.500 0.250
```

Uncorrected energy: -4.5656 eV/atom
ΔH_f (0 K): 0.22 eV/atom
Crystal system: orthorhombic



Entry from the Alexandria database: a relaxed LiCu2Os crystal (PBE).

```
LiCu2Os
1.0
-1.349 -1.257 -4.000
-3.106 -3.032 0.750
0.356 4.068 1.652
Cu Os Li
2 1 1
direct
0.000 0.000 0.000
0.500 0.500 0.000
0.750 0.250 0.500
0.250 0.750 0.500
```

Uncorrected energy: -4.9371 eV/atom
ΔH_f (0 K): 0.40 eV/atom
Crystal system: tetragonal



Entry from the Alexandria database: a relaxed Li2CuOs crystal (PBE).

```
Li2CuOs
1.0
-1.708 3.999 1.132
-2.186 -0.628 -1.078
-1.486 -1.787 4.072
Cu Os Li
1 1 2
direct
0.500 0.876 0.675
0.000 0.375 0.567
0.000 0.874 0.060
0.500 0.375 0.198
```

Uncorrected energy: -4.6422 eV/atom
ΔH_f (0 K): 0.15 eV/atom
Crystal system: monoclinic



Entry from the Alexandria database: a relaxed Li2Cu2Os crystal (PBE).

```
Li2Cu2Os
1.0
-1.848 6.665 -0.797
-5.498 -1.029 4.146
1.408 0.632 2.024
Li Cu Os
4 4 2
direct
0.829 0.329 0.500
0.671 0.829 0.500
0.171 0.671 0.500
0.329 0.171 0.500
0.370 0.870 0.000
0.130 0.370 0.000
0.870 0.630 0.000
0.630 0.130 0.000
0.500 0.500 0.000
0.000 0.000 0.000
```

Uncorrected energy: -4.3566 eV/atom
ΔH_f (0 K): 0.29 eV/atom
Crystal system: tetragonal



Entry from the Alexandria database: a relaxed LiCu2Os crystal (PBE).

```
LiCu2Os
1.0
-2.450 -2.229 2.973
1.849 0.266 1.723
-1.873 3.934 1.405
Cu Li Os
2 1 1
direct
0.500 0.124 0.320
0.000 0.124 0.923
0.000 0.627 0.433
0.500 0.625 0.824
```

Uncorrected energy: -5.2118 eV/atom
ΔH_f (0 K): 0.12 eV/atom
Crystal system: monoclinic



Entry from the Alexandria database: a relaxed LiCu2Os crystal (PBE).

```
LiCu2Os
1.0
-0.050 -3.182 -2.550
-0.196 -1.550 1.938
-5.110 -0.536 0.769
Cu Os Li
2 1 1
direct
0.000 0.087 0.999
0.000 0.413 0.501
0.500 0.750 0.750
0.500 0.250 0.250
```

Uncorrected energy: -5.1356 eV/atom
ΔH_f (0 K): 0.20 eV/atom
Crystal system: monoclinic



Entry from the Alexandria database: a relaxed Li2CuOs crystal (PBE).

```
Li2CuOs
1.0
6.533 0.000 0.000
0.000 6.533 0.000
3.267 3.267 2.474
Cu Li Os
2 4 2
direct
0.250 0.750 0.500
0.500 0.500 0.000
0.875 0.856 0.750
0.144 0.625 0.250
0.606 0.125 0.250
0.375 0.394 0.750
0.750 0.250 0.500
0.000 0.000 0.000
```

Uncorrected energy: -4.0612 eV/atom
ΔH_f (0 K): 0.73 eV/atom
Crystal system: tetragonal



Entry from the Alexandria database: a relaxed LiCu2Os crystal (PBE).

```
LiCu2Os
1.0
3.466 0.000 0.000
0.000 3.466 0.000
1.733 1.733 8.764
Os Cu Li
2 4 2
direct
0.750 0.250 0.500
0.000 0.000 0.000
0.875 0.874 0.750
0.126 0.625 0.250
0.624 0.125 0.250
0.375 0.376 0.750
0.500 0.500 0.000
0.250 0.750 0.500
```

Uncorrected energy: -4.5892 eV/atom
ΔH_f (0 K): 0.74 eV/atom
Crystal system: tetragonal



Entry from the Alexandria database: a relaxed LiCu4Os crystal (PBE).

```
LiCu4Os
1.0
2.591 2.851 2.817
-1.837 1.614 4.099
1.661 -1.632 4.166
Os Li Cu
1 1 4
direct
0.000 0.000 0.000
0.750 0.750 0.750
0.375 0.375 0.375
0.875 0.375 0.375
0.375 0.875 0.375
0.375 0.375 0.875
```

Uncorrected energy: -4.5915 eV/atom
ΔH_f (0 K): 0.33 eV/atom
Crystal system: cubic



Entry from the Alexandria database: a relaxed Li2CuOs crystal (PBE).

```
Li2CuOs
1.0
-0.140 -2.535 -0.362
2.211 -0.303 1.263
-4.416 -0.832 7.531
Li Os Cu
2 1 1
direct
0.000 0.000 0.973
0.500 0.500 0.273
0.000 0.000 0.511
0.500 0.500 0.743
```

Uncorrected energy: -4.5623 eV/atom
ΔH_f (0 K): 0.23 eV/atom
Crystal system: tetragonal



Entry from the Alexandria database: a relaxed Li2CuOs crystal (PBE).

```
Li2CuOs
1.0
4.994 0.077 0.759
4.345 2.464 0.759
1.500 0.408 4.636
Li Os Cu
2 1 1
direct
0.754 0.754 0.841
0.991 0.991 0.907
0.507 0.507 0.389
0.247 0.247 0.362
```

Uncorrected energy: -4.6728 eV/atom
ΔH_f (0 K): 0.12 eV/atom
Crystal system: monoclinic



Question: Number 6 is which compound?
Answer: LiCu2Os